# 1
Below is Sr11Cd6Sb12 at its PBEsol-relaxed geometry, with properties calculated at the meta-GGA SCAN level.

Results
E_form (uncorrected), eV/atom: -0.918

The structure in CIF format:
```
data_Sr11Cd6Sb12
_space_group_name_H-M_alt 'P 1'
_space_group_IT_number 1
_space_group_name_Hall 'P 1'
_cell_length_a 16.522
_cell_length_b 16.522
_cell_length_c 12.499
_cell_angle_alpha 109.73
_cell_angle_beta 109.73
_cell_angle_gamma 16.52
loop_
_atom_site_label
_atom_site_type_symbol
_atom_site_fract_x
_atom_site_fract_y
_atom_site_fract_z
Sr1 Sr 0.000 0.000 0.000
Sr2 Sr 0.019 0.019 0.681
Sr3 Sr 0.114 0.114 0.506
Sr4 Sr 0.126 0.126 0.015
Sr5 Sr 0.200 0.200 0.343
Sr6 Sr 0.278 0.278 0.133
Sr7 Sr 0.722 0.722 0.867
Sr8 Sr 0.800 0.800 0.657
Sr9 Sr 0.874 0.874 0.985
Sr10 Sr 0.886 0.886 0.494
Sr11 Sr 0.981 0.981 0.319
Cd1 Cd 0.219 0.219 0.666
Cd2 Cd 0.399 0.399 0.255
Cd3 Cd 0.453 0.453 0.752
Cd4 Cd 0.547 0.547 0.248
Cd5 Cd 0.601 0.601 0.745
Cd6 Cd 0.781 0.781 0.334
Sb1 Sb 0.090 0.090 0.233
Sb2 Sb 0.151 0.151 0.784
Sb3 Sb 0.296 0.296 0.865
Sb4 Sb 0.309 0.309 0.471
Sb5 Sb 0.453 0.453 0.115
Sb6 Sb 0.457 0.457 0.500
Sb7 Sb 0.543 0.543 0.500
Sb8 Sb 0.547 0.547 0.885
Sb9 Sb 0.691 0.691 0.529
Sb10 Sb 0.704 0.704 0.135
Sb11 Sb 0.849 0.849 0.216
Sb12 Sb 0.910 0.910 0.767
```

***

# 2
Below is V2NiP2H8O14 at its PBEsol-relaxed geometry, with properties calculated at the meta-GGA SCAN level.

Results
D(E_F), states/eV per cell: 0.00

The structure in CIF format:
```
data_V2NiP2H8O14
_space_group_name_H-M_alt 'P 1'
_space_group_IT_number 1
_space_group_name_Hall 'P 1'
_cell_length_a 7.841
_cell_length_b 7.841
_cell_length_c 7.841
_cell_angle_alpha 133.19
_cell_angle_beta 133.19
_cell_angle_gamma 68.36
loop_
_atom_site_label
_atom_site_type_symbol
_atom_site_fract_x
_atom_site_fract_y
_atom_site_fract_z
V1 V 0.223 0.223 0.000
V2 V 0.777 0.777 0.000
Ni1 Ni 0.500 0.500 0.000
P1 P 0.250 0.750 0.500
P2 P 0.750 0.250 0.500
H1 H 0.095 0.253 0.473
H2 H 0.220 0.378 0.473
H3 H 0.253 0.780 0.158
H4 H 0.378 0.905 0.158
H5 H 0.622 0.095 0.842
H6 H 0.747 0.220 0.842
H7 H 0.780 0.622 0.527
H8 H 0.905 0.747 0.527
O1 O 0.122 0.787 0.269
O2 O 0.147 0.878 0.665
O3 O 0.213 0.482 0.335
O4 O 0.249 0.295 0.544
O5 O 0.295 0.751 0.046
O6 O 0.348 0.348 0.000
O7 O 0.482 0.147 0.269
O8 O 0.518 0.853 0.731
O9 O 0.652 0.652 0.000
O10 O 0.705 0.249 0.954
O11 O 0.751 0.705 0.456
O12 O 0.787 0.518 0.665
O13 O 0.853 0.122 0.335
O14 O 0.878 0.213 0.731
```

***

# 3
Below is Sc2PPb at its PBEsol-relaxed geometry, with properties calculated at the meta-GGA SCAN level.

Results
Distance to the lowest polymorph of the same formula, eV/atom: 0.485
D(E_F), states/eV per cell: 4.58
Formation energy from the elements, eV per atom: -0.6669

The structure in CIF format:
```
data_Sc2PPb
_space_group_name_H-M_alt 'P 1'
_space_group_IT_number 1
_space_group_name_Hall 'P 1'
_cell_length_a 6.491
_cell_length_b 7.528
_cell_length_c 3.479
_cell_angle_alpha 90.00
_cell_angle_beta 103.66
_cell_angle_gamma 90.00
loop_
_atom_site_label
_atom_site_type_symbol
_atom_site_fract_x
_atom_site_fract_y
_atom_site_fract_z
Sc1 Sc 0.250 0.250 0.000
Sc2 Sc 0.250 0.750 0.000
Sc3 Sc 0.750 0.250 0.000
Sc4 Sc 0.750 0.750 0.000
P1 P 0.000 0.000 0.500
P2 P 0.500 0.500 0.500
Pb1 Pb 0.000 0.500 0.500
Pb2 Pb 0.500 0.000 0.500
```

***

# 4
Below is CaY2Sb at its PBEsol-relaxed geometry, with properties calculated at the meta-GGA SCAN level.

Results
Distance to the lowest polymorph of the same formula, eV/atom: 0.012
D(E_F), states/eV per cell: 7.39
E_form (uncorrected), eV/atom: -0.522

The structure in CIF format:
```
data_CaY2Sb
_space_group_name_H-M_alt 'P 1'
_space_group_IT_number 1
_space_group_name_Hall 'P 1'
_cell_length_a 4.023
_cell_length_b 5.251
_cell_length_c 11.209
_cell_angle_alpha 90.00
_cell_angle_beta 90.00
_cell_angle_gamma 90.00
loop_
_atom_site_label
_atom_site_type_symbol
_atom_site_fract_x
_atom_site_fract_y
_atom_site_fract_z
Ca1 Ca 0.000 0.000 0.000
Ca2 Ca 0.500 0.500 0.500
Y1 Y 0.000 0.500 0.210
Y2 Y 0.000 0.500 0.790
Y3 Y 0.500 0.000 0.290
Y4 Y 0.500 0.000 0.710
Sb1 Sb 0.000 0.000 0.500
Sb2 Sb 0.500 0.500 0.000
```

***

# 5
Below is LiReRu2 at its PBEsol-relaxed geometry, with properties calculated at the meta-GGA SCAN level.

Results
Distance to the lowest polymorph of the same formula, eV/atom: 0.429
D(E_F), states/eV per cell: 6.46
Formation energy from the elements, eV per atom: 0.3504

The structure in CIF format:
```
data_LiReRu2
_space_group_name_H-M_alt 'P 1'
_space_group_IT_number 1
_space_group_name_Hall 'P 1'
_cell_length_a 2.760
_cell_length_b 4.452
_cell_length_c 9.119
_cell_angle_alpha 90.00
_cell_angle_beta 90.00
_cell_angle_gamma 90.00
loop_
_atom_site_label
_atom_site_type_symbol
_atom_site_fract_x
_atom_site_fract_y
_atom_site_fract_z
Li1 Li 0.000 0.000 0.000
Li2 Li 0.500 0.500 0.000
Re1 Re 0.000 0.500 0.738
Re2 Re 0.500 0.000 0.738
Ru1 Ru 0.000 0.000 0.494
Ru2 Ru 0.000 0.500 0.248
Ru3 Ru 0.500 0.000 0.248
Ru4 Ru 0.500 0.500 0.494
```

***

# 6
Below is ZnHgBiOs2 at its PBEsol-relaxed geometry, with properties calculated at the meta-GGA SCAN level.

Results
D(E_F), states/eV per cell: 5.10
Formation energy from the elements, eV per atom: 2.6397

The structure in CIF format:
```
data_ZnHgBiOs2
_space_group_name_H-M_alt 'P 1'
_space_group_IT_number 1
_space_group_name_Hall 'P 1'
_cell_length_a 4.948
_cell_length_b 4.948
_cell_length_c 5.319
_cell_angle_alpha 90.00
_cell_angle_beta 90.00
_cell_angle_gamma 90.00
loop_
_atom_site_label
_atom_site_type_symbol
_atom_site_fract_x
_atom_site_fract_y
_atom_site_fract_z
Zn1 Zn 0.000 0.000 0.000
Hg1 Hg 0.500 0.500 0.500
Bi1 Bi 0.500 0.500 0.000
Os1 Os 0.000 0.500 0.500
Os2 Os 0.500 0.000 0.500
```

***

# 7
Below is SrTlZn2Cd at its PBEsol-relaxed geometry, with properties calculated at the meta-GGA SCAN level.

Results
D(E_F), states/eV per cell: 2.74
Formation energy from the elements, eV per atom: 0.2342

The structure in CIF format:
```
data_SrTlZn2Cd
_space_group_name_H-M_alt 'P 1'
_space_group_IT_number 1
_space_group_name_Hall 'P 1'
_cell_length_a 5.126
_cell_length_b 5.126
_cell_length_c 5.562
_cell_angle_alpha 90.00
_cell_angle_beta 90.00
_cell_angle_gamma 90.00
loop_
_atom_site_label
_atom_site_type_symbol
_atom_site_fract_x
_atom_site_fract_y
_atom_site_fract_z
Sr1 Sr 0.000 0.000 0.000
Tl1 Tl 0.500 0.500 0.500
Zn1 Zn 0.000 0.500 0.500
Zn2 Zn 0.500 0.000 0.500
Cd1 Cd 0.500 0.500 0.000
```

***

# 8
Below is Mg2SeO at its PBEsol-relaxed geometry, with properties calculated at the meta-GGA SCAN level.

Results
D(E_F), states/eV per cell: 0.00
E_form (uncorrected), eV/atom: -2.052

The structure in CIF format:
```
data_Mg2SeO
_space_group_name_H-M_alt 'P 1'
_space_group_IT_number 1
_space_group_name_Hall 'P 1'
_cell_length_a 5.589
_cell_length_b 5.589
_cell_length_c 8.859
_cell_angle_alpha 90.00
_cell_angle_beta 90.00
_cell_angle_gamma 90.00
loop_
_atom_site_label
_atom_site_type_symbol
_atom_site_fract_x
_atom_site_fract_y
_atom_site_fract_z
Mg1 Mg 0.162 0.750 0.125
Mg2 Mg 0.250 0.162 0.875
Mg3 Mg 0.250 0.338 0.375
Mg4 Mg 0.338 0.750 0.625
Mg5 Mg 0.662 0.250 0.625
Mg6 Mg 0.750 0.662 0.375
Mg7 Mg 0.750 0.838 0.875
Mg8 Mg 0.838 0.250 0.125
Se1 Se 0.000 0.000 0.500
Se2 Se 0.000 0.500 0.750
Se3 Se 0.500 0.000 0.250
Se4 Se 0.500 0.500 0.000
O1 O 0.000 0.000 0.000
O2 O 0.000 0.500 0.250
O3 O 0.500 0.000 0.750
O4 O 0.500 0.500 0.500
```

***

# 9
Below is TaSbTe2H at its PBEsol-relaxed geometry, with properties calculated at the meta-GGA SCAN level.

Results
Distance to the lowest polymorph of the same formula, eV/atom: 0.089
D(E_F), states/eV per cell: 2.25

The structure in CIF format:
```
data_TaSbTe2H
_space_group_name_H-M_alt 'P 1'
_space_group_IT_number 1
_space_group_name_Hall 'P 1'
_cell_length_a 5.128
_cell_length_b 5.128
_cell_length_c 3.679
_cell_angle_alpha 90.00
_cell_angle_beta 90.00
_cell_angle_gamma 90.00
loop_
_atom_site_label
_atom_site_type_symbol
_atom_site_fract_x
_atom_site_fract_y
_atom_site_fract_z
Ta1 Ta 0.000 0.000 0.000
Sb1 Sb 0.500 0.500 0.000
Te1 Te 0.000 0.500 0.500
Te2 Te 0.500 0.000 0.500
H1 H 0.500 0.500 0.500
```

***

# 10
Below is ScNiTeI2 at its PBEsol-relaxed geometry, with properties calculated at the meta-GGA SCAN level.

Results
D(E_F), states/eV per cell: 4.02
E_form (uncorrected), eV/atom: 0.015

The structure in CIF format:
```
data_ScNiTeI2
_space_group_name_H-M_alt 'P 1'
_space_group_IT_number 1
_space_group_name_Hall 'P 1'
_cell_length_a 5.026
_cell_length_b 5.026
_cell_length_c 5.214
_cell_angle_alpha 90.00
_cell_angle_beta 90.00
_cell_angle_gamma 90.00
loop_
_atom_site_label
_atom_site_type_symbol
_atom_site_fract_x
_atom_site_fract_y
_atom_site_fract_z
Sc1 Sc 0.000 0.000 0.000
Ni1 Ni 0.500 0.500 0.500
Te1 Te 0.500 0.500 0.000
I1 I 0.000 0.500 0.500
I2 I 0.500 0.000 0.500
```

***

# 11
Below is Mg5In2 at its PBEsol-relaxed geometry, with properties calculated at the meta-GGA SCAN level.

Results
D(E_F), states/eV per cell: 5.16
Formation energy from the elements, eV per atom: -0.1659

The structure in CIF format:
```
data_Mg5In2
_space_group_name_H-M_alt 'P 1'
_space_group_IT_number 1
_space_group_name_Hall 'P 1'
_cell_length_a 8.503
_cell_length_b 8.503
_cell_length_c 8.503
_cell_angle_alpha 128.79
_cell_angle_beta 68.59
_cell_angle_gamma 137.61
loop_
_atom_site_label
_atom_site_type_symbol
_atom_site_fract_x
_atom_site_fract_y
_atom_site_fract_z
Mg1 Mg 0.017 0.250 0.767
Mg2 Mg 0.087 0.661 0.748
Mg3 Mg 0.250 0.250 0.000
Mg4 Mg 0.413 0.161 0.574
Mg5 Mg 0.483 0.250 0.233
Mg6 Mg 0.517 0.750 0.767
Mg7 Mg 0.587 0.839 0.426
Mg8 Mg 0.750 0.750 0.000
Mg9 Mg 0.913 0.339 0.252
Mg10 Mg 0.983 0.750 0.233
In1 In 0.123 0.267 0.390
In2 In 0.377 0.767 0.144
In3 In 0.623 0.233 0.856
In4 In 0.877 0.733 0.610
```

***

Final energy in eV/atom, matching the order above: -31.0783; -8.7506; -29.3304; -26.1741; -35.4346; -58.1645; -30.1815; -11.1161; -35.5581; -28.2141; -13.2575